! RbLa3Mn GGA-PBE relaxed; values from VASP
! **V**: 36.20 A^3/atom
! **DOS(E_F)**: 7.43 states/eV/cell
! **Space group**: Pm-3m
! **ΔH_f (0 K)**: 0.366 eV/atom
&SYSTEM
  ibrav = 0, nat = 5, ntyp = 3
/
ATOMIC_SPECIES
Rb 85.47 Rb.upf
La 138.91 La.upf
Mn 54.94 Mn.upf
ATOMIC_POSITIONS angstrom
Rb 0.000 0.000 0.000
La 0.000 2.828 2.828
La 2.828 0.000 2.828
La 2.828 2.828 0.000
Mn 2.828 2.828 2.828
CELL_PARAMETERS angstrom
5.657 0.000 0.000
0.000 5.657 0.000
0.000 0.000 5.657